! meta-GGA SCAN Y2ScTl, PBEsol geometry; values from VASP
! Calculated volume in Å³/atom: 26.241
! Symmetry: No. 47
! DFT formation energy in eV/atom: -0.2948
! Offset from the most stable computed form in meV per atom: 47
&SYSTEM
  ibrav = 0, nat = 4, ntyp = 3
/
ATOMIC_SPECIES
Y 88.91 Y.upf
Sc 44.96 Sc.upf
Tl 204.38 Tl.upf
CELL_PARAMETERS angstrom
3.5667 0.0000 0.0000
0.0000 4.4960 0.0000
0.0000 0.0000 6.5456
ATOMIC_POSITIONS angstrom
Y 0.0000 0.0000 4.8982
Y 0.0000 0.0000 1.6474
Sc 1.7833 2.2480 0.0000
Tl 1.7833 2.2480 3.2728



! meta-GGA SCAN Y2ScTl, PBEsol geometry; values from VASP
! Calculated volume in Å³/atom: 26.690
! Symmetry: No. 44
! DFT formation energy in eV/atom: -0.3337
! Offset from the most stable computed form in meV per atom: 8
&SYSTEM
  ibrav = 0, nat = 4, ntyp = 3
/
ATOMIC_SPECIES
Y 88.91 Y.upf
Sc 44.96 Sc.upf
Tl 204.38 Tl.upf
CELL_PARAMETERS angstrom
3.7360 0.0000 0.0000
0.0000 5.1591 0.0000
-1.8680 -2.5795 5.5391
ATOMIC_POSITIONS angstrom
Y 1.8680 2.5795 5.2753
Y 1.8680 0.0000 2.8165
Sc 1.8680 2.5795 0.3241
Tl 0.0000 2.5795 2.6623



! meta-GGA SCAN Y2ScTl, PBEsol geometry; values from VASP
! Calculated volume in Å³/atom: 25.451
! Symmetry: No. 123
! DFT formation energy in eV/atom: -0.3417
! Offset from the most stable computed form in meV per atom: 0
&SYSTEM
  ibrav = 0, nat = 4, ntyp = 3
/
ATOMIC_SPECIES
Y 88.91 Y.upf
Sc 44.96 Sc.upf
Tl 204.38 Tl.upf
CELL_PARAMETERS angstrom
4.6659 0.0000 0.0000
0.0000 4.6659 0.0000
0.0000 0.0000 4.6763
ATOMIC_POSITIONS angstrom
Y 0.0000 2.3329 0.0000
Y 2.3329 0.0000 0.0000
Sc 2.3329 2.3329 2.3381
Tl 0.0000 0.0000 2.3381



! meta-GGA SCAN Y2ScTl2, PBEsol geometry; values from VASP
! Calculated volume in Å³/atom: 26.381
! Symmetry: No. 127
! DFT formation energy in eV/atom: -0.5893
&SYSTEM
  ibrav = 0, nat = 10, ntyp = 3
/
ATOMIC_SPECIES
Y 88.91 Y.upf
Sc 44.96 Sc.upf
Tl 204.38 Tl.upf
CELL_PARAMETERS angstrom
-3.9153 1.1467 -1.5128
1.1958 -4.3180 -6.3682
-3.1795 -6.1459 3.5703
ATOMIC_POSITIONS angstrom
Y -3.8873 -4.2924 0.5494
Y -3.7897 -7.4184 -2.0729
Y -2.0118 -5.0249 -4.8601
Y -2.1094 -1.8988 -2.2378
Sc 0.0000 0.0000 0.0000
Sc -0.9919 -5.2320 -1.3989
Tl -2.3159 -6.9031 0.7610
Tl -0.9801 -7.6359 -3.2516
Tl 0.3321 -3.5609 -3.5589
Tl -1.0036 -2.8281 0.4537



! meta-GGA SCAN Y2ScTl, PBEsol geometry; values from VASP
! Calculated volume in Å³/atom: 25.499
! Symmetry: No. 139
! DFT formation energy in eV/atom: -0.2933
! Offset from the most stable computed form in meV per atom: 48
&SYSTEM
  ibrav = 0, nat = 4, ntyp = 3
/
ATOMIC_SPECIES
Y 88.91 Y.upf
Sc 44.96 Sc.upf
Tl 204.38 Tl.upf
CELL_PARAMETERS angstrom
-3.2096 -3.2455 -0.1481
0.8607 -1.0501 4.3605
-2.1800 5.3993 -0.6610
ATOMIC_POSITIONS angstrom
Y -3.2821 0.0030 0.6486
Y -1.2469 1.1007 2.9028
Sc -1.1745 -2.1478 2.1062
Tl 0.0000 0.0000 0.0000



! meta-GGA SCAN Y2ScTl, PBEsol geometry; values from VASP
! Calculated volume in Å³/atom: 25.725
! Symmetry: No. 119
! DFT formation energy in eV/atom: -0.2589
! Offset from the most stable computed form in meV per atom: 83
&SYSTEM
  ibrav = 0, nat = 4, ntyp = 3
/
ATOMIC_SPECIES
Y 88.91 Y.upf
Sc 44.96 Sc.upf
Tl 204.38 Tl.upf
CELL_PARAMETERS angstrom
-2.6244 3.7221 0.1838
-3.3709 -2.2751 -2.0583
1.2709 -2.1590 5.3519
ATOMIC_POSITIONS angstrom
Y 0.0000 0.0000 0.0000
Y -2.1756 1.1433 2.2992
Sc -2.9977 0.7235 -0.9372
Tl -2.5488 -1.8553 1.1782



! meta-GGA SCAN ScTl2Zn, PBEsol geometry; values from VASP
! Calculated volume in Å³/atom: 22.200
! Symmetry: No. 216
! DFT formation energy in eV/atom: 0.0714
! Offset from the most stable computed form in meV per atom: 155
&SYSTEM
  ibrav = 0, nat = 4, ntyp = 3
/
ATOMIC_SPECIES
Sc 44.96 Sc.upf
Tl 204.38 Tl.upf
Zn 65.41 Zn.upf
CELL_PARAMETERS angstrom
-2.5058 -2.5028 3.5404
2.0818 -0.7360 4.4946
-1.7686 2.4284 4.0065
ATOMIC_POSITIONS angstrom
Sc -1.0963 -0.4052 6.0208
Tl 0.0000 0.0000 0.0000
Tl -1.6445 -0.6078 9.0312
Zn -0.5482 -0.2026 3.0104



! meta-GGA SCAN ScTl2Zn, PBEsol geometry; values from VASP
! Calculated volume in Å³/atom: 21.924
! Symmetry: No. 10
! DFT formation energy in eV/atom: -0.0838
! Offset from the most stable computed form in meV per atom: 0
&SYSTEM
  ibrav = 0, nat = 4, ntyp = 3
/
ATOMIC_SPECIES
Sc 44.96 Sc.upf
Tl 204.38 Tl.upf
Zn 65.41 Zn.upf
CELL_PARAMETERS angstrom
-2.5655 1.3453 -1.5229
-1.8269 -4.0819 -0.5283
-2.2869 0.3087 5.5232
ATOMIC_POSITIONS angstrom
Sc -2.0569 -1.8866 2.4975
Tl -3.3914 1.1075 3.1707
Tl -1.4610 0.5465 0.8295
Zn -2.1962 -1.3683 -1.0256



! meta-GGA SCAN ScTl2Zn, PBEsol geometry; values from VASP
! Calculated volume in Å³/atom: 21.481
! Symmetry: No. 65
! DFT formation energy in eV/atom: -0.0722
! Offset from the most stable computed form in meV per atom: 12
&SYSTEM
  ibrav = 0, nat = 4, ntyp = 3
/
ATOMIC_SPECIES
Sc 44.96 Sc.upf
Tl 204.38 Tl.upf
Zn 65.41 Zn.upf
CELL_PARAMETERS angstrom
-2.5691 1.7673 -1.6997
-1.8338 -0.3229 3.0241
2.6068 5.9174 2.2126
ATOMIC_POSITIONS angstrom
Sc -2.2014 0.7222 0.6622
Tl 0.6966 1.5813 0.5913
Tl 1.9102 4.3360 1.6213
Zn -0.8980 3.6809 1.7685



! meta-GGA SCAN Zr2ScTl, PBEsol geometry; values from VASP
! Calculated volume in Å³/atom: 22.262
! Symmetry: No. 99
! DFT formation energy in eV/atom: -0.1743
! Offset from the most stable computed form in meV per atom: 99
&SYSTEM
  ibrav = 0, nat = 4, ntyp = 3
/
ATOMIC_SPECIES
Sc 44.96 Sc.upf
Tl 204.38 Tl.upf
Zr 91.22 Zr.upf
CELL_PARAMETERS angstrom
-0.8075 2.6617 1.5959
-2.8812 -1.2559 0.6368
3.1147 -3.4387 7.3111
ATOMIC_POSITIONS angstrom
Sc 1.5658 -1.7287 3.6754
Tl 0.4810 -1.8644 6.5748
Zr 3.1084 -3.4319 7.2965
Zr -1.0573 -0.1660 2.9638



! meta-GGA SCAN ZrScTl, PBEsol geometry; values from VASP
! Calculated volume in Å³/atom: 22.408
! Symmetry: No. 107
! DFT formation energy in eV/atom: -0.2857
&SYSTEM
  ibrav = 0, nat = 3, ntyp = 3
/
ATOMIC_SPECIES
Sc 44.96 Sc.upf
Tl 204.38 Tl.upf
Zr 91.22 Zr.upf
CELL_PARAMETERS angstrom
-1.0675 -1.7818 -2.6273
2.8773 -1.7141 -0.0066
-3.3048 -2.2947 5.0337
ATOMIC_POSITIONS angstrom
Sc -0.0083 -0.0140 0.0129
Tl 0.1137 -3.0808 -0.0915
Zr -1.6003 -2.6958 2.4785



! meta-GGA SCAN Zr2ScTl, PBEsol geometry; values from VASP
! Calculated volume in Å³/atom: 22.003
! Symmetry: No. 25
! DFT formation energy in eV/atom: -0.1882
! Offset from the most stable computed form in meV per atom: 85
&SYSTEM
  ibrav = 0, nat = 4, ntyp = 3
/
ATOMIC_SPECIES
Sc 44.96 Sc.upf
Tl 204.38 Tl.upf
Zr 91.22 Zr.upf
CELL_PARAMETERS angstrom
3.2472 0.0000 0.0000
0.0000 4.1623 0.0000
0.0000 0.0000 6.5119
ATOMIC_POSITIONS angstrom
Sc 0.0000 0.0000 3.2724
Tl 1.6236 2.0812 4.8621
Zr 0.0000 0.0000 0.0362
Zr 1.6236 2.0812 1.5980



Q: Among the records above, which one has the highest calculated volume?
A: number 2



Q: Which value of calculated volume does entry 4 give?
A: 26.381 Å³/atom



Q: What is the DFT formation energy in the fifth record?
A: -0.2933 eV/atom